DFT (PBE) results for a geometry-optimized TbPm2Ho6Tm structure.

ρ	8.34	g cm⁻³
V	32.02	Å³ per atom
magnetization	0.000	μB per formula unit

a = 9.6245 Å, b = 8.7341 Å, c = 8.7341 Å
α = 118.05°, β = 94.48°, γ = 94.48°
Sites, in units of the cell vectors:
Tb1 0.2500 0.9808 0.0192
Tb2 0.7500 0.0192 0.9808
Pm1 0.4569 0.8046 0.7014
Pm2 0.0431 0.2986 0.1954
Pm3 0.5431 0.1954 0.2986
Pm4 0.9569 0.7014 0.8046
Ho1 0.0570 0.1250 0.7456
Ho2 0.4430 0.2544 0.8750
Ho3 0.9430 0.8750 0.2544
Ho4 0.5570 0.7456 0.1250
Ho5 0.3132 0.9799 0.4263
Ho6 0.1868 0.5737 0.0201
Ho7 0.6868 0.0201 0.5737
Ho8 0.8132 0.4263 0.9799
Ho9 0.1193 0.7075 0.4961
Ho10 0.3807 0.5039 0.2925
Ho11 0.8807 0.2925 0.5039
Ho12 0.6193 0.4961 0.7075
Tm1 0.2500 0.4072 0.5928
Tm2 0.7500 0.5928 0.4072

DFT (PBE) results for a geometry-optimized TbPmHo2Tm6 structure.

ρ	8.73	g cm⁻³
V	31.34	Å³ per atom
magnetization	0.000	μB per formula unit

a = 9.4220 Å, b = 8.7031 Å, c = 8.7031 Å
α = 117.76°, β = 93.57°, γ = 93.57°
Sites, in units of the cell vectors:
Tb1 0.2500 0.4095 0.5905
Tb2 0.7500 0.5905 0.4095
Pm1 0.2500 0.9740 0.0260
Pm2 0.7500 0.0260 0.9740
Ho1 0.4537 0.8035 0.6967
Ho2 0.0463 0.3033 0.1965
Ho3 0.5463 0.1965 0.3033
Ho4 0.9537 0.6967 0.8035
Tm1 0.0579 0.1244 0.7502
Tm2 0.4421 0.2498 0.8756
Tm3 0.9421 0.8756 0.2498
Tm4 0.5579 0.7502 0.1244
Tm5 0.3178 0.9791 0.4321
Tm6 0.1822 0.5679 0.0209
Tm7 0.6822 0.0209 0.5679
Tm8 0.8178 0.4321 0.9791
Tm9 0.1175 0.7092 0.4912
Tm10 0.3825 0.5088 0.2908
Tm11 0.8825 0.2908 0.5088
Tm12 0.6175 0.4912 0.7092

DFT (PBE) results for a geometry-optimized TbPm6Ho3Tm2 structure.

ρ	7.95	g cm⁻³
V	32.39	Å³ per atom
magnetization	0.000	μB per formula unit

a = 6.2213 Å, b = 6.2213 Å, c = 11.7771 Å
α = 95.03°, β = 95.03°, γ = 119.98°
Sites, in units of the cell vectors:
Tb1 0.0000 0.0000 0.0000
Pm1 0.9164 0.5826 0.7504
Pm2 0.7499 0.7499 0.2495
Pm3 0.0836 0.4174 0.2496
Pm4 0.5826 0.9164 0.7504
Pm5 0.2501 0.2501 0.7505
Pm6 0.4174 0.0836 0.2496
Ho1 0.1668 0.8332 0.5000
Ho2 0.8332 0.1668 0.5000
Ho3 0.5000 0.5000 0.5000
Tm1 0.3334 0.6666 0.0000
Tm2 0.6666 0.3334 0.0000

DFT (PBE) results for a geometry-optimized Tb2Pm2HoTm4 structure.

ρ	8.48	g cm⁻³
V	31.51	Å³ per atom
magnetization	0.000	μB per formula unit

a = 3.5736 Å, b = 9.4456 Å, c = 9.4992 Å
α = 115.26°, β = 90.00°, γ = 100.90°
Sites, in units of the cell vectors:
Tb1 0.8529 0.7059 0.3376
Tb2 0.1471 0.2941 0.6624
Pm1 0.3345 0.6690 0.9992
Pm2 0.6655 0.3310 0.0008
Ho1 0.0000 0.0000 0.0000
Tm1 0.8148 0.6296 0.6635
Tm2 0.1852 0.3704 0.3365
Tm3 0.5195 0.0390 0.3344
Tm4 0.4805 0.9610 0.6656

DFT (PBE) results for a geometry-optimized TbPm4Ho2Tm structure.

ρ	7.90	g cm⁻³
V	32.52	Å³ per atom
magnetization	0.000	μB per formula unit

a = 3.5968 Å, b = 6.2166 Å, c = 11.8236 Å
α = 79.79°, β = 90.00°, γ = 90.00°
Sites, in units of the cell vectors:
Tb1 0.5000 0.5000 0.0000
Pm1 0.0000 0.7497 0.7490
Pm2 0.0000 0.2503 0.2510
Pm3 0.5000 0.7502 0.2512
Pm4 0.5000 0.2498 0.7488
Ho1 0.0000 0.0000 0.0000
Ho2 0.5000 0.0000 0.5000
Tm1 0.0000 0.5000 0.5000

DFT (PBE) results for a geometry-optimized TbPm3HoTm structure.

ρ	7.87	g cm⁻³
V	32.63	Å³ per atom
magnetization	0.000	μB per formula unit

a = 5.0818 Å, b = 8.0191 Å, c = 10.7436 Å
α = 116.56°, β = 90.00°, γ = 90.00°
Sites, in units of the cell vectors:
Tb1 0.2500 0.6287 0.1266
Tb2 0.7500 0.3713 0.8734
Pm1 0.7500 0.8755 0.0428
Pm2 0.2500 0.1245 0.9572
Pm3 0.2500 0.6274 0.4588
Pm4 0.7500 0.3726 0.5412
Pm5 0.7500 0.3776 0.2087
Pm6 0.2500 0.6224 0.7913
Ho1 0.2500 0.1232 0.2936
Ho2 0.7500 0.8768 0.7064
Tm1 0.2500 0.1222 0.6229
Tm2 0.7500 0.8778 0.3771

DFT (PBE) results for a geometry-optimized Tb3Pm2HoTm6 structure.

ρ	8.65	g cm⁻³
V	31.13	Å³ per atom
magnetization	0.000	μB per formula unit

a = 6.1269 Å, b = 6.1269 Å, c = 11.6641 Å
α = 95.01°, β = 95.01°, γ = 119.96°
Sites, in units of the cell vectors:
Tb1 0.1665 0.8335 0.5000
Tb2 0.8335 0.1665 0.5000
Tb3 0.5000 0.5000 0.5000
Pm1 0.3334 0.6666 0.0000
Pm2 0.6666 0.3334 0.0000
Ho1 0.0000 0.0000 0.0000
Tm1 0.9159 0.5830 0.7488
Tm2 0.7514 0.7514 0.2514
Tm3 0.0841 0.4170 0.2512
Tm4 0.5830 0.9159 0.7488
Tm5 0.2486 0.2486 0.7486
Tm6 0.4170 0.0841 0.2512

DFT (PBE) results for a geometry-optimized Tb2PmHo5Tm structure.

ρ	8.35	g cm⁻³
V	32.17	Å³ per atom
magnetization	0.000	μB per formula unit

a = 8.8859 Å, b = 8.8859 Å, c = 9.6574 Å
α = 117.39°, β = 117.39°, γ = 90.00°
Sites, in units of the cell vectors:
Tb1 0.1130 0.3870 0.0000
Tb2 0.6130 0.1130 0.0000
Tb3 0.3870 0.8870 0.0000
Tb4 0.8870 0.6130 0.0000
Pm1 0.2500 0.2500 0.5000
Pm2 0.7500 0.7500 0.5000
Ho1 0.9272 0.4272 0.2664
Ho2 0.6608 0.1608 0.7336
Ho3 0.0728 0.5728 0.7336
Ho4 0.1608 0.0728 0.7336
Ho5 0.5728 0.6608 0.7336
Ho6 0.8392 0.9272 0.2664
Ho7 0.4272 0.3392 0.2664
Ho8 0.3392 0.8392 0.2664
Ho9 0.5000 0.5000 0.0000
Ho10 0.0000 0.0000 0.0000
Tm1 0.2500 0.7500 0.5000
Tm2 0.7500 0.2500 0.5000

DFT (PBE) results for a geometry-optimized TbPm2HoTm4 structure.

ρ	8.55	g cm⁻³
V	31.30	Å³ per atom
magnetization	0.001	μB per formula unit

a = 12.2217 Å, b = 7.0863 Å, c = 12.2270 Å
α = 106.87°, β = 146.31°, γ = 89.98°
Sites, in units of the cell vectors:
Tb1 0.0000 0.5000 0.0000
Tb2 0.0000 0.5000 0.5000
Pm1 0.5000 0.0000 0.0000
Pm2 0.5000 0.0000 0.5000
Pm3 0.0000 0.0000 0.5000
Pm4 0.5000 0.5000 0.0000
Ho1 0.5000 0.5000 0.5000
Ho2 0.0000 0.0000 0.0000
Tm1 0.2488 0.7504 0.0004
Tm2 0.7496 0.2512 0.5012
Tm3 0.2504 0.7488 0.4988
Tm4 0.7512 0.2496 0.9996
Tm5 0.7507 0.7495 0.9991
Tm6 0.7496 0.7503 0.5012
Tm7 0.2504 0.2497 0.4988
Tm8 0.2493 0.2505 0.0009

DFT (PBE) results for a geometry-optimized TbPm3Ho6Tm2 structure.

ρ	8.40	g cm⁻³
V	31.65	Å³ per atom
magnetization	0.000	μB per formula unit

a = 6.1548 Å, b = 6.1548 Å, c = 11.7526 Å
α = 95.00°, β = 95.00°, γ = 119.96°
Sites, in units of the cell vectors:
Tb1 0.0000 0.0000 0.0000
Pm1 0.1668 0.8332 0.5000
Pm2 0.8332 0.1668 0.5000
Pm3 0.5000 0.5000 0.5000
Ho1 0.9176 0.5840 0.7537
Ho2 0.7486 0.7486 0.2463
Ho3 0.0824 0.4160 0.2463
Ho4 0.5840 0.9176 0.7537
Ho5 0.2514 0.2514 0.7537
Ho6 0.4160 0.0824 0.2463
Tm1 0.3333 0.6667 0.0000
Tm2 0.6667 0.3333 0.0000

DFT (PBE) results for a geometry-optimized Tb2PmHoTm structure.

ρ	7.68	g cm⁻³
V	34.46	Å³ per atom
magnetization	0.000	μB per formula unit

a = 7.1924 Å, b = 8.3803 Å, c = 7.0887 Å
α = 126.24°, β = 90.00°, γ = 90.00°
Sites, in units of the cell vectors:
Tb1 0.5000 0.3091 0.0000
Tb2 0.0000 0.6909 0.0000
Tb3 0.5000 0.6909 0.0000
Tb4 0.0000 0.3091 0.0000
Pm1 0.2500 0.7274 0.4548
Pm2 0.7500 0.2726 0.5452
Ho1 0.2500 0.9980 0.9960
Ho2 0.7500 0.0020 0.0040
Tm1 0.7500 0.7237 0.4474
Tm2 0.2500 0.2763 0.5526

DFT (PBE) results for a geometry-optimized TbPm5HoTm2 structure.

ρ	7.60	g cm⁻³
V	33.67	Å³ per atom
magnetization	0.000	μB per formula unit

a = 5.6180 Å, b = 10.4959 Å, c = 10.6664 Å
α = 90.00°, β = 90.00°, γ = 105.52°
Sites, in units of the cell vectors:
Tb1 0.8008 0.6016 0.5107
Tb2 0.1992 0.3984 0.0107
Pm1 0.3875 0.7750 0.0226
Pm2 0.7192 0.4385 0.8109
Pm3 0.4814 0.9629 0.7424
Pm4 0.2980 0.5961 0.7063
Pm5 0.9835 0.9670 0.5197
Pm6 0.6125 0.2250 0.5226
Pm7 0.2808 0.5615 0.3109
Pm8 0.5186 0.0371 0.2424
Pm9 0.7020 0.4039 0.2063
Pm10 0.0165 0.0330 0.0197
Ho1 0.5900 0.1799 0.9597
Ho2 0.4100 0.8201 0.4597
Tm1 0.8853 0.7705 0.8123
Tm2 0.1112 0.2224 0.7394
Tm3 0.1147 0.2295 0.3123
Tm4 0.8888 0.7776 0.2394

no.,formation enthalpy at 0 K (eV/atom)
1,0.1163
2,0.1241
3,0.0135
4,-0.0020
5,0.0164
6,0.0208
7,0.0200
8,0.2934
9,0.0192
10,0.0194
11,0.3975
12,0.1486